Entry 1:
Li2LaCuO | GGA-PBE | relaxed

abc: 4.159 4.159 4.916
angles: 90.00 90.00 90.00
Positions (direct):
Li 0.000 0.500 0.000
Li 0.500 0.000 0.000
La 0.000 0.000 0.500
Cu 0.500 0.500 0.500
O 0.000 0.000 0.000

Values from the calculation:
Uncorrected energy ... -4.5739 eV per atom
Symmetry ... P4/mmm

---

Entry 2:
LiLaCuP2 | GGA-PBE | relaxed

abc: 6.009 6.009 6.009
angles: 140.92 140.92 56.46
Positions (direct):
Li 0.000 0.000 0.000
La 0.250 0.750 0.500
Cu 0.500 0.500 0.000
P 0.628 0.128 0.500
P 0.872 0.372 0.500

Values from the calculation:
Energy relative to the lowest polymorph listed for this composition ... 0 meV/atom
Uncorrected energy ... -5.2096 eV per atom
Symmetry ... I-4m2
Formation energy from the elements ... -0.8581 eV per atom

---

Entry 3:
LiLaCuP2 | GGA-PBE | relaxed

abc: 4.671 4.671 4.987
angles: 90.00 90.00 90.00
Positions (direct):
Li 0.000 0.000 0.000
La 0.500 0.500 0.000
Cu 0.500 0.500 0.500
P 0.000 0.500 0.500
P 0.500 0.000 0.500

Values from the calculation:
Energy relative to the lowest polymorph listed for this composition ... 948 meV/atom
Uncorrected energy ... -4.2613 eV per atom
Symmetry ... P4/mmm
Formation energy from the elements ... 0.0902 eV per atom

---

Entry 4:
LiLa2CuPb | GGA-PBE | relaxed

abc: 5.547 5.547 4.750
angles: 90.00 90.00 90.00
Positions (direct):
Li 0.000 0.000 0.000
La 0.000 0.500 0.500
La 0.500 0.000 0.500
Cu 0.000 0.000 0.500
Pb 0.500 0.500 0.000

Values from the calculation:
Uncorrected energy ... -4.0637 eV per atom
Symmetry ... P4/mmm
Formation energy from the elements ... -0.1490 eV per atom

---

Entry 5:
Li3La2Cu12Pd | GGA-PBE | relaxed

abc: 10.511 10.511 10.511
angles: 32.38 32.38 32.38
Positions (direct):
Li 0.000 0.500 0.500
Li 0.500 0.000 0.500
Li 0.500 0.500 0.000
La 0.143 0.143 0.143
La 0.857 0.857 0.857
Cu 0.087 0.087 0.680
Cu 0.087 0.680 0.087
Cu 0.137 0.576 0.576
Cu 0.320 0.913 0.913
Cu 0.424 0.424 0.863
Cu 0.424 0.863 0.424
Cu 0.576 0.137 0.576
Cu 0.576 0.576 0.137
Cu 0.680 0.087 0.087
Cu 0.863 0.424 0.424
Cu 0.913 0.320 0.913
Cu 0.913 0.913 0.320
Pd 0.500 0.500 0.500

Values from the calculation:
Uncorrected energy ... -3.8035 eV per atom
Symmetry ... R-3m
Formation energy from the elements ... 0.0822 eV per atom

---

Entry 6:
Li2La3CuPd9 | GGA-PBE | relaxed

abc: 6.835 6.835 7.056
angles: 90.00 90.00 120.00
Positions (direct):
Li 0.333 0.667 0.138
Li 0.667 0.333 0.862
La 0.000 0.000 0.000
La 0.333 0.667 0.667
La 0.667 0.333 0.333
Cu 0.000 0.000 0.500
Pd 0.000 0.500 0.000
Pd 0.181 0.362 0.336
Pd 0.181 0.819 0.336
Pd 0.362 0.181 0.664
Pd 0.500 0.000 0.000
Pd 0.500 0.500 0.000
Pd 0.638 0.819 0.336
Pd 0.819 0.181 0.664
Pd 0.819 0.638 0.664

Values from the calculation:
Uncorrected energy ... -5.0802 eV per atom
Symmetry ... P-3m1
Formation energy from the elements ... -0.4508 eV per atom

---

Entry 7:
Li3La2CuPd12 | GGA-PBE | relaxed

abc: 11.902 11.902 11.902
angles: 27.97 27.97 27.97
Positions (direct):
Li 0.000 0.500 0.500
Li 0.500 0.000 0.500
Li 0.500 0.500 0.000
La 0.137 0.137 0.137
La 0.863 0.863 0.863
Cu 0.500 0.500 0.500
Pd 0.107 0.107 0.634
Pd 0.107 0.634 0.107
Pd 0.108 0.615 0.615
Pd 0.366 0.893 0.893
Pd 0.385 0.385 0.892
Pd 0.385 0.892 0.385
Pd 0.615 0.108 0.615
Pd 0.615 0.615 0.108
Pd 0.634 0.107 0.107
Pd 0.892 0.385 0.385
Pd 0.893 0.366 0.893
Pd 0.893 0.893 0.366

Values from the calculation:
Uncorrected energy ... -4.8381 eV per atom
Symmetry ... R-3m
Formation energy from the elements ... -0.2822 eV per atom

---

Entry 8:
Li2LaCuPd4 | GGA-PBE | relaxed

abc: 8.739 8.739 8.739
angles: 28.55 28.55 28.55
Positions (direct):
Li 0.231 0.231 0.231
Li 0.769 0.769 0.769
La 0.000 0.000 0.000
Cu 0.500 0.500 0.500
Pd 0.128 0.128 0.128
Pd 0.399 0.399 0.399
Pd 0.601 0.601 0.601
Pd 0.872 0.872 0.872

Values from the calculation:
Uncorrected energy ... -4.6909 eV per atom
Symmetry ... R-3m
Formation energy from the elements ... -0.4880 eV per atom

---

Entry 9:
LiLaCuPd3 | GGA-PBE | relaxed

abc: 7.052 7.052 5.791
angles: 90.00 90.00 131.02
Positions (direct):
Li 0.096 0.904 0.750
Li 0.904 0.096 0.250
La 0.322 0.678 0.750
La 0.678 0.322 0.250
Cu 0.361 0.639 0.250
Cu 0.639 0.361 0.750
Pd 0.157 0.843 0.250
Pd 0.264 0.264 0.000
Pd 0.264 0.264 0.500
Pd 0.736 0.736 0.000
Pd 0.736 0.736 0.500
Pd 0.843 0.157 0.750

Values from the calculation:
Uncorrected energy ... -4.8467 eV per atom
Symmetry ... Cmcm
Formation energy from the elements ... -0.4274 eV per atom

---

Entry 10:
LiLa2CuPd2 | GGA-PBE | relaxed

abc: 8.710 8.710 8.710
angles: 140.63 56.79 140.77
Positions (direct):
Li 0.250 0.250 0.000
Li 0.750 0.750 0.000
La 0.160 0.738 0.897
La 0.340 0.238 0.578
La 0.660 0.762 0.422
La 0.840 0.262 0.103
Cu 0.250 0.750 0.500
Cu 0.750 0.250 0.500
Pd 0.122 0.244 0.367
Pd 0.378 0.744 0.122
Pd 0.622 0.256 0.878
Pd 0.878 0.756 0.633

Values from the calculation:
Uncorrected energy ... -4.9137 eV per atom
Symmetry ... Ibam
Formation energy from the elements ... -0.5386 eV per atom

---

Entry 11:
LiLaPmCu | GGA-PBE | relaxed

abc: 5.227 5.227 5.227
angles: 60.00 60.00 60.00
Positions (direct):
Li 0.000 0.000 0.000
La 0.250 0.250 0.250
Pm 0.750 0.750 0.750
Cu 0.500 0.500 0.500

Values from the calculation:
Uncorrected energy ... -3.8989 eV per atom
Symmetry ... F-43m
Formation energy from the elements ... 0.0231 eV per atom

---

Entry 12:
LiLaPrCu | GGA-PBE | relaxed

abc: 5.262 5.262 5.262
angles: 60.00 60.00 60.00
Positions (direct):
Li 0.000 0.000 0.000
La 0.750 0.750 0.750
Pr 0.250 0.250 0.250
Cu 0.500 0.500 0.500

Values from the calculation:
Uncorrected energy ... -3.9012 eV per atom
Symmetry ... F-43m
Formation energy from the elements ... 0.0281 eV per atom

---

What M_tot values result from the calculations? In sequence: 0.6 0.0 0.0 0.0 0.0 0.0 0.0 0.0 0.0 0.0 0.4 0.4 μB/f.u..